# 1
## BeAlP2O (PBE)

Data for a relaxed BeAlP2O crystal.

Cell lengths 4.8911, 4.8911, 2.8944 Å; angles 90.00, 90.00, 90.00 degrees
Positions (direct):
P1 0.0000 0.5000 0.0000
P2 0.5000 0.0000 0.0000
Al1 0.5000 0.5000 0.5000
Be1 0.0000 0.0000 0.0000
O1 0.0000 0.0000 0.5000

Results
uncorrected formation energy = -1.0 eV/f.u.
offset from the most stable computed form = 0 meV per atom

# 2
## CsTlHSe (PBE)

Data for a relaxed CsTlHSe crystal.

Cell lengths 4.3490, 5.8159, 5.8270 Å; angles 60.10, 89.86, 89.94 degrees
Positions (direct):
Cs1 0.4740 0.6994 0.7294
Tl1 0.9874 0.3666 0.3946
H1 0.6337 0.0306 0.0721
Se1 0.9778 0.0334 0.0604

Results
offset from the most stable computed form = 63 meV per atom

# 3
## LaPmThCd (PBE)

Data for a relaxed LaPmThCd crystal.

Cell lengths 3.6655, 3.6655, 9.2396 Å; angles 90.00, 90.00, 90.00 degrees
Positions (direct):
Cd1 0.5000 0.5000 0.3285
La1 0.0000 0.0000 0.0830
Th1 0.5000 0.5000 0.8172
Pm1 0.0000 0.0000 0.5560

Results
calculated formation energy = -0.7 eV per formula unit
offset from the most stable computed form = 0 meV per atom

# 4
## YFe2Si (PBE)

Data for a relaxed YFe2Si crystal.

Cell lengths 4.2777, 4.2777, 8.7012 Å; angles 75.77, 75.77, 90.00 degrees
Last column: magnetic moment on the atom in μB.
Positions (direct):
Fe1 0.4438 0.1250 0.2500  1.71
Fe2 0.3062 0.6250 0.2500  1.69
Fe3 0.3750 0.5562 0.7500  1.56
Fe4 0.8750 0.6938 0.7500  1.63
Si1 0.2500 0.7500 0.5000  -0.02
Si2 0.5000 0.5000 0.0000  -0.02
Y1 0.0000 0.0000 0.0000  -0.11
Y2 0.7500 0.2500 0.5000  -0.11

Results
uncorrected formation energy = 0.2 eV/f.u.

# 5
## Re2NiSn (PBE)

Data for a relaxed Re2NiSn crystal.

Cell lengths 3.7794, 3.7794, 9.9224 Å; angles 79.02, 79.02, 90.00 degrees
Positions (direct):
Sn1 0.0000 0.0000 0.0000
Sn2 0.7500 0.2500 0.5000
Ni1 0.2500 0.7500 0.5000
Ni2 0.5000 0.5000 0.0000
Re1 0.1733 0.6250 0.2500
Re2 0.8750 0.8267 0.7500
Re3 0.3750 0.4233 0.7500
Re4 0.5767 0.1250 0.2500

Results
calculated formation energy = 2.4 eV per formula unit

# 6
## Nb3TeSe5 (PBE)

Data for a relaxed Nb3TeSe5 crystal.

Cell lengths 7.3831, 7.3831, 9.9762 Å; angles 64.94, 64.94, 75.30 degrees
Positions (direct):
Nb1 0.0000 0.0000 0.0000
Nb2 0.6663 0.6663 0.8407
Nb3 0.3532 0.3532 0.6548
Nb4 0.6468 0.6468 0.3452
Nb5 0.0000 0.0000 0.5000
Nb6 0.3337 0.3337 0.1593
Se1 0.6281 0.0415 0.6740
Se2 0.2920 0.7080 0.0000
Se3 0.0415 0.6281 0.6740
Se4 0.3719 0.9585 0.3260
Se5 0.5753 0.5753 0.6387
Se6 0.9585 0.3719 0.3260
Se7 0.7636 0.7636 0.0332
Se8 0.2364 0.2364 0.9668
Se9 0.4247 0.4247 0.3614
Se10 0.7080 0.2920 0.0000
Te1 0.1034 0.1034 0.6870
Te2 0.8966 0.8966 0.3130

Results
uncorrected formation energy = -5.0 eV/f.u.

# 7
## K4Pu3SbTe8 (PBE)

Data for a relaxed K4Pu3SbTe8 crystal.

Cell lengths 9.1619, 9.7264, 9.1620 Å; angles 118.10, 120.00, 90.00 degrees
Last column: magnetic moment on the atom in μB.
Positions (direct):
Pu1 0.5000 0.5000 0.5000  5.21
Pu2 0.5000 0.5000 0.0000  5.21
Pu3 0.0000 0.5000 0.5000  5.21
Sb1 0.0000 0.5000 0.0000  0.02
Te1 0.2343 0.7069 0.9726  -0.08
Te2 0.7361 0.7081 0.4721  -0.11
Te3 0.7657 0.2931 0.0274  -0.08
Te4 0.7656 0.2931 0.5313  -0.08
Te5 0.2639 0.2919 0.5279  -0.11
Te6 0.2618 0.2931 0.0274  -0.08
Te7 0.7382 0.7069 0.9726  -0.08
Te8 0.2344 0.7069 0.4687  -0.08
K1 0.0000 0.0000 0.5000  0.00
K2 0.0000 0.0000 0.0000  0.00
K3 0.5000 0.0000 0.5000  0.00
K4 0.5000 0.0000 0.0000  0.00

Results
uncorrected formation energy = -15.4 eV/f.u.

# 8
## Ho4MnGa12 (PBE)

Data for a relaxed Ho4MnGa12 crystal.

Cell lengths 7.4375, 7.4375, 7.4375 Å; angles 109.47, 109.47, 109.47 degrees
Last column: magnetic moment on the atom in μB.
Positions (direct):
Ga1 0.2876 0.0000 0.2876  -0.02
Ga2 0.2500 0.7500 0.5000  0.01
Ga3 0.7500 0.2500 0.5000  0.01
Ga4 0.7124 0.0000 0.7124  -0.02
Ga5 0.0000 0.2876 0.2876  -0.02
Ga6 0.2500 0.5000 0.7500  0.01
Ga7 0.0000 0.7124 0.7124  -0.02
Ga8 0.7500 0.5000 0.2500  0.01
Ga9 0.5000 0.2500 0.7500  0.01
Ga10 0.5000 0.7500 0.2500  0.01
Ga11 0.7124 0.7124 0.0000  -0.02
Ga12 0.2876 0.2876 0.0000  -0.02
Ho1 0.5000 0.0000 0.0000  0.00
Ho2 0.0000 0.0000 0.5000  0.00
Ho3 0.5000 0.5000 0.5000  0.00
Ho4 0.0000 0.5000 0.0000  0.00
Mn1 0.0000 0.0000 0.0000  2.36

Results
calculated formation energy = -9.0 eV per formula unit

# 9
## HoIn6Ni6 (PBE)

Data for a relaxed HoIn6Ni6 crystal.

Cell lengths 5.3047, 6.9560, 6.9560 Å; angles 80.30, 67.59, 67.59 degrees
Positions (direct):
Ni1 0.0000 0.5000 0.0000
Ni2 0.5000 0.2375 0.7625
Ni3 0.0000 0.0000 0.5000
Ni4 0.5000 0.0000 0.5000
Ni5 0.5000 0.7625 0.2375
Ni6 0.5000 0.5000 0.0000
In1 0.6590 0.3410 0.3410
In2 0.0000 0.3310 0.6690
In3 0.0000 0.6690 0.3310
In4 0.3410 0.6590 0.6590
In5 0.3220 0.1780 0.1780
In6 0.6780 0.8220 0.8220
Ho1 0.0000 0.0000 0.0000

Results
calculated formation energy = -2.8 eV per formula unit

# 10
## Mg2NiW (PBE)

Data for a relaxed Mg2NiW crystal.

Cell lengths 4.4667, 4.4667, 4.4667 Å; angles 60.00, 60.00, 60.00 degrees
Last column: magnetic moment on the atom in μB.
Positions (direct):
W1 0.7500 0.7500 0.7500  0.98
Ni1 0.5000 0.5000 0.5000  0.45
Mg1 0.0000 0.0000 0.0000  0.02
Mg2 0.2500 0.2500 0.2500  -0.01

Results
calculated formation energy = 2.0 eV per formula unit
offset from the most stable computed form = 386 meV per atom

# 11
## Y2AlP (PBE)

Data for a relaxed Y2AlP crystal.

Cell lengths 3.8922, 3.8922, 7.9488 Å; angles 75.92, 75.92, 59.94 degrees
Positions (direct):
Al1 0.7500 0.7500 0.7500
Y1 0.5128 0.5128 0.4628
Y2 0.9872 0.9872 0.0372
P1 0.2500 0.2500 0.2500

Results
calculated formation energy = -3.5 eV per formula unit
offset from the most stable computed form = 17 meV per atom

# 12
## NdY2Bi3 (PBE)

Data for a relaxed NdY2Bi3 crystal.

Cell lengths 4.5266, 6.4043, 7.8383 Å; angles 114.11, 106.78, 90.00 degrees
Positions (direct):
Y1 0.8347 0.8347 0.1694
Y2 0.1653 0.1653 0.8306
Nd1 0.5000 0.5000 0.5000
Bi1 0.8290 0.3290 0.1579
Bi2 0.1710 0.6710 0.8421
Bi3 0.5000 0.0000 0.5000

Results
calculated formation energy = -5.5 eV per formula unit

Calculated mass density, 2.732, 5.423, 8.405, 5.087, 13.378, 5.986, 5.684, 8.134, 9.133, 7.672, 3.914, 8.009 g/cm3 (same order as the records).
Calculated V, 13.85, 31.94, 31.03, 18.66, 17.06, 24.69, 37.08, 18.63, 16.87, 15.75, 25.01, 32.79 A^3/atom (same order as the records).